Record 1
This record from the Alexandria database describes an optimized crystal structure of GdTmTlAu. The functional is PBE.

Calculated values
* total magnetization: 7.3 μB per formula unit
* ΔH_f (0 K): -0.564 eV/atom

abc: 5.2292 5.2292 5.2292
angles: 60.00 60.00 60.00
Fractional positions:
1 Gd 0.7500 0.7500 0.7500
2 Tl 0.5000 0.5000 0.5000
3 Tm 0.2500 0.2500 0.2500
4 Au 0.0000 0.0000 0.0000

=====

Record 2
This record from the Alexandria database describes an optimized crystal structure of GdYTlAu. The functional is PBE.

Calculated values
* total magnetization: 7.4 μB per formula unit
* ΔH_f (0 K): -0.577 eV/atom

abc: 5.2652 5.2652 5.2652
angles: 60.00 60.00 60.00
Fractional positions:
1 Au 0.0000 0.0000 0.0000
2 Gd 0.2500 0.2500 0.2500
3 Y 0.7500 0.7500 0.7500
4 Tl 0.5000 0.5000 0.5000

=====

Record 3
This record from the Alexandria database describes an optimized crystal structure of GdZrTlAu. The functional is PBE.

Calculated values
* total magnetization: 8.3 μB per formula unit
* ΔH_f (0 K): -0.336 eV/atom

abc: 5.1265 5.1265 5.1265
angles: 60.00 60.00 60.00
Fractional positions:
1 Zr 0.2500 0.2500 0.2500
2 Au 0.0000 0.0000 0.0000
3 Gd 0.7500 0.7500 0.7500
4 Tl 0.5000 0.5000 0.5000

=====

Record 4
This record from the Alexandria database describes an optimized crystal structure of GdTmAu. The functional is PBE.

Calculated values
* total magnetization: 7.4 μB per formula unit
* ΔH_f (0 K): -0.455 eV/atom
* polymorph energy (0 for the lowest one): 0.106 eV/atom

abc: 4.9644 4.9644 4.9644
angles: 60.00 60.00 60.00
Fractional positions:
1 Au 0.2500 0.2500 0.2500
2 Gd 0.0000 0.0000 0.0000
3 Tm 0.5000 0.5000 0.5000